Model a:
# HfMn3P, single point on PBEsol structure, DFT meta-GGA SCAN
# Symmetry: Pm-3m
data_HfMn3P
_space_group_name_H-M_alt 'P 1'
_space_group_IT_number 1
_cell_length_a 4.620
_cell_length_b 4.620
_cell_length_c 4.620
_cell_angle_alpha 90.00
_cell_angle_beta 90.00
_cell_angle_gamma 90.00
loop_
_space_group_symop_operation_xyz
'x,y,z'
loop_
_atom_site_label
_atom_site_fract_x
_atom_site_fract_y
_atom_site_fract_z
_atom_site_occupancy
P1 0.500 0.500 0.500 1
Mn1 0.000 0.500 0.000 1
Mn2 0.000 0.000 0.500 1
Mn3 0.500 0.000 0.000 1
Hf1 0.000 0.000 0.000 1



Model b:
# HfMn3P, single point on PBEsol structure, DFT meta-GGA SCAN
# Symmetry: Pm-3m
data_HfMn3P
_space_group_name_H-M_alt 'P 1'
_space_group_IT_number 1
_cell_length_a 4.099
_cell_length_b 4.099
_cell_length_c 4.099
_cell_angle_alpha 90.00
_cell_angle_beta 90.00
_cell_angle_gamma 90.00
loop_
_space_group_symop_operation_xyz
'x,y,z'
loop_
_atom_site_label
_atom_site_fract_x
_atom_site_fract_y
_atom_site_fract_z
_atom_site_occupancy
P1 0.000 0.000 0.000 1
Mn1 0.000 0.500 0.000 1
Mn2 0.000 0.000 0.500 1
Mn3 0.500 0.000 0.000 1
Hf1 0.500 0.500 0.500 1



Unit: kJ/mol of atoms. Relative energies: model a 131.5; model b 0.0.



Model a:
# Sr3HfMn, single point on PBEsol structure, DFT meta-GGA SCAN
# Symmetry: Pm-3m
data_Sr3HfMn
_space_group_name_H-M_alt 'P 1'
_space_group_IT_number 1
_cell_length_a 5.719
_cell_length_b 5.719
_cell_length_c 5.719
_cell_angle_alpha 90.00
_cell_angle_beta 90.00
_cell_angle_gamma 90.00
loop_
_space_group_symop_operation_xyz
'x,y,z'
loop_
_atom_site_label
_atom_site_fract_x
_atom_site_fract_y
_atom_site_fract_z
_atom_site_occupancy
Sr1 0.000 0.500 0.000 1
Sr2 0.000 0.000 0.500 1
Sr3 0.500 0.000 0.000 1
Mn1 0.000 0.000 0.000 1
Hf1 0.500 0.500 0.500 1



Model b:
# Sr3HfMn, single point on PBEsol structure, DFT meta-GGA SCAN
# Symmetry: Pm-3m
data_Sr3HfMn
_space_group_name_H-M_alt 'P 1'
_space_group_IT_number 1
_cell_length_a 5.953
_cell_length_b 5.953
_cell_length_c 5.953
_cell_angle_alpha 90.00
_cell_angle_beta 90.00
_cell_angle_gamma 90.00
loop_
_space_group_symop_operation_xyz
'x,y,z'
loop_
_atom_site_label
_atom_site_fract_x
_atom_site_fract_y
_atom_site_fract_z
_atom_site_occupancy
Sr1 0.000 0.500 0.000 1
Sr2 0.000 0.000 0.500 1
Sr3 0.500 0.000 0.000 1
Mn1 0.500 0.500 0.500 1
Hf1 0.000 0.000 0.000 1



Unit: kJ/mol of atoms. Relative energies: model a 0.0; model b 13.3.



Model a:
# HfMo2, single point on PBEsol structure, DFT meta-GGA SCAN
# Symmetry: P6_3/mmc
data_HfMo2
_space_group_name_H-M_alt 'P 1'
_space_group_IT_number 1
_cell_length_a 5.304
_cell_length_b 5.304
_cell_length_c 17.207
_cell_angle_alpha 90.00
_cell_angle_beta 90.00
_cell_angle_gamma 120.00
loop_
_space_group_symop_operation_xyz
'x,y,z'
loop_
_atom_site_label
_atom_site_fract_x
_atom_site_fract_y
_atom_site_fract_z
_atom_site_occupancy
Hf1 0.000 0.000 0.095 1
Hf2 0.000 0.000 0.905 1
Hf3 0.000 0.000 0.595 1
Hf4 0.000 0.000 0.405 1
Hf5 0.333 0.667 0.844 1
Hf6 0.667 0.333 0.156 1
Hf7 0.667 0.333 0.344 1
Hf8 0.333 0.667 0.656 1
Mo1 0.333 0.667 0.124 1
Mo2 0.667 0.333 0.876 1
Mo3 0.667 0.333 0.624 1
Mo4 0.333 0.667 0.376 1
Mo5 0.500 0.500 0.000 1
Mo6 0.000 0.500 0.000 1
Mo7 0.500 0.000 0.000 1
Mo8 0.500 0.500 0.500 1
Mo9 0.000 0.500 0.500 1
Mo10 0.500 0.000 0.500 1
Mo11 0.163 0.837 0.250 1
Mo12 0.673 0.837 0.250 1
Mo13 0.163 0.327 0.250 1
Mo14 0.837 0.163 0.750 1
Mo15 0.327 0.163 0.750 1
Mo16 0.837 0.673 0.750 1



Model b:
# HfMo2, single point on PBEsol structure, DFT meta-GGA SCAN
# Symmetry: Fd-3m
data_HfMo2
_space_group_name_H-M_alt 'P 1'
_space_group_IT_number 1
_cell_length_a 5.293
_cell_length_b 5.293
_cell_length_c 5.293
_cell_angle_alpha 60.00
_cell_angle_beta 60.00
_cell_angle_gamma 60.00
loop_
_space_group_symop_operation_xyz
'x,y,z'
loop_
_atom_site_label
_atom_site_fract_x
_atom_site_fract_y
_atom_site_fract_z
_atom_site_occupancy
Mo1 0.125 0.625 0.625 1
Mo2 0.625 0.625 0.625 1
Mo3 0.625 0.625 0.125 1
Mo4 0.625 0.125 0.625 1
Hf1 0.000 0.000 0.000 1
Hf2 0.250 0.250 0.250 1



Unit: kJ/mol of atoms. Relative energies: model a 0.9; model b 0.0.



Model a:
# Hf5N5O2, single point on PBEsol structure, DFT meta-GGA SCAN
# Symmetry: C2/m
data_Hf5N5O2
_space_group_name_H-M_alt 'P 1'
_space_group_IT_number 1
_cell_length_a 3.040
_cell_length_b 5.376
_cell_length_c 9.016
_cell_angle_alpha 105.00
_cell_angle_beta 90.00
_cell_angle_gamma 106.42
loop_
_space_group_symop_operation_xyz
'x,y,z'
loop_
_atom_site_label
_atom_site_fract_x
_atom_site_fract_y
_atom_site_fract_z
_atom_site_occupancy
Hf1 0.113 0.225 0.423 1
Hf2 0.703 0.405 0.809 1
Hf3 0.297 0.595 0.191 1
Hf4 0.887 0.775 0.577 1
Hf5 0.000 0.000 0.000 1
N1 0.500 0.000 0.500 1
N2 0.657 0.314 0.053 1
N3 0.737 0.474 0.352 1
N4 0.263 0.526 0.648 1
N5 0.343 0.686 0.947 1
O1 0.045 0.089 0.787 1
O2 0.955 0.911 0.213 1



Model b:
# Hf5N5O2, single point on PBEsol structure, DFT meta-GGA SCAN
# Symmetry: Cm
data_Hf5N5O2
_space_group_name_H-M_alt 'P 1'
_space_group_IT_number 1
_cell_length_a 3.045
_cell_length_b 5.350
_cell_length_c 9.063
_cell_angle_alpha 105.47
_cell_angle_beta 90.00
_cell_angle_gamma 106.53
loop_
_space_group_symop_operation_xyz
'x,y,z'
loop_
_atom_site_label
_atom_site_fract_x
_atom_site_fract_y
_atom_site_fract_z
_atom_site_occupancy
Hf1 0.889 0.779 0.080 1
Hf2 0.303 0.606 0.703 1
Hf3 0.695 0.391 0.300 1
Hf4 0.111 0.222 0.918 1
Hf5 0.011 0.022 0.494 1
N1 0.488 0.975 0.981 1
N2 0.260 0.519 0.144 1
N3 0.732 0.465 0.848 1
N4 0.664 0.327 0.554 1
N5 0.046 0.093 0.283 1
O1 0.954 0.908 0.705 1
O2 0.347 0.695 0.448 1



Unit: kJ/mol of atoms. Relative energies: model a 0.0; model b 1.7.



Model a:
# HfOsSeN2, single point on PBEsol structure, DFT meta-GGA SCAN
# Symmetry: P4/mmm
data_HfOsSeN2
_space_group_name_H-M_alt 'P 1'
_space_group_IT_number 1
_cell_length_a 3.985
_cell_length_b 3.985
_cell_length_c 5.415
_cell_angle_alpha 90.00
_cell_angle_beta 90.00
_cell_angle_gamma 90.00
loop_
_space_group_symop_operation_xyz
'x,y,z'
loop_
_atom_site_label
_atom_site_fract_x
_atom_site_fract_y
_atom_site_fract_z
_atom_site_occupancy
Hf1 0.000 0.000 0.000 1
Os1 0.500 0.500 0.500 1
Se1 0.000 0.000 0.500 1
N1 0.000 0.500 0.000 1
N2 0.500 0.000 0.000 1



Model b:
# HfOsSeN2, single point on PBEsol structure, DFT meta-GGA SCAN
# Symmetry: P4/mmm
data_HfOsSeN2
_space_group_name_H-M_alt 'P 1'
_space_group_IT_number 1
_cell_length_a 3.811
_cell_length_b 3.811
_cell_length_c 5.136
_cell_angle_alpha 90.00
_cell_angle_beta 90.00
_cell_angle_gamma 90.00
loop_
_space_group_symop_operation_xyz
'x,y,z'
loop_
_atom_site_label
_atom_site_fract_x
_atom_site_fract_y
_atom_site_fract_z
_atom_site_occupancy
Hf1 0.500 0.500 0.500 1
Os1 0.000 0.000 0.000 1
Se1 0.000 0.000 0.500 1
N1 0.000 0.500 0.000 1
N2 0.500 0.000 0.000 1



Unit: kJ/mol of atoms. Relative energies: model a 52.2; model b 0.0.



Model a:
# HfTe2PtN, single point on PBEsol structure, DFT meta-GGA SCAN
# Symmetry: P4/mmm
data_HfTe2PtN
_space_group_name_H-M_alt 'P 1'
_space_group_IT_number 1
_cell_length_a 3.651
_cell_length_b 5.431
_cell_length_c 5.431
_cell_angle_alpha 90.00
_cell_angle_beta 90.00
_cell_angle_gamma 90.00
loop_
_space_group_symop_operation_xyz
'x,y,z'
loop_
_atom_site_label
_atom_site_fract_x
_atom_site_fract_y
_atom_site_fract_z
_atom_site_occupancy
Te1 0.000 0.000 0.500 1
Te2 0.000 0.500 0.000 1
Hf1 0.500 0.500 0.500 1
Pt1 0.000 0.000 0.000 1
N1 0.500 0.000 0.000 1



Model b:
# HfTe2PtN, single point on PBEsol structure, DFT meta-GGA SCAN
# Symmetry: P4/mmm
data_HfTe2PtN
_space_group_name_H-M_alt 'P 1'
_space_group_IT_number 1
_cell_length_a 3.820
_cell_length_b 5.515
_cell_length_c 5.515
_cell_angle_alpha 90.00
_cell_angle_beta 90.00
_cell_angle_gamma 90.00
loop_
_space_group_symop_operation_xyz
'x,y,z'
loop_
_atom_site_label
_atom_site_fract_x
_atom_site_fract_y
_atom_site_fract_z
_atom_site_occupancy
Te1 0.000 0.000 0.500 1
Te2 0.000 0.500 0.000 1
Hf1 0.000 0.000 0.000 1
Pt1 0.500 0.500 0.500 1
N1 0.500 0.000 0.000 1



Unit: kJ/mol of atoms. Relative energies: model a 0.0; model b 4.0.



Model a:
# SrHfSe2N, single point on PBEsol structure, DFT meta-GGA SCAN
# Symmetry: P4/mmm
data_SrHfSe2N
_space_group_name_H-M_alt 'P 1'
_space_group_IT_number 1
_cell_length_a 4.096
_cell_length_b 5.249
_cell_length_c 5.249
_cell_angle_alpha 90.00
_cell_angle_beta 90.00
_cell_angle_gamma 90.00
loop_
_space_group_symop_operation_xyz
'x,y,z'
loop_
_atom_site_label
_atom_site_fract_x
_atom_site_fract_y
_atom_site_fract_z
_atom_site_occupancy
Sr1 0.500 0.500 0.500 1
Hf1 0.000 0.000 0.000 1
Se1 0.000 0.000 0.500 1
Se2 0.000 0.500 0.000 1
N1 0.500 0.000 0.000 1



Model b:
# SrHfSe2N, single point on PBEsol structure, DFT meta-GGA SCAN
# Symmetry: P4/mmm
data_SrHfSe2N
_space_group_name_H-M_alt 'P 1'
_space_group_IT_number 1
_cell_length_a 4.162
_cell_length_b 5.436
_cell_length_c 5.436
_cell_angle_alpha 90.00
_cell_angle_beta 90.00
_cell_angle_gamma 90.00
loop_
_space_group_symop_operation_xyz
'x,y,z'
loop_
_atom_site_label
_atom_site_fract_x
_atom_site_fract_y
_atom_site_fract_z
_atom_site_occupancy
Sr1 0.000 0.000 0.000 1
Hf1 0.500 0.500 0.500 1
Se1 0.000 0.000 0.500 1
Se2 0.000 0.500 0.000 1
N1 0.500 0.000 0.000 1



Unit: kJ/mol of atoms. Relative energies: model a 0.0; model b 208.4.



Model a:
# HfTiTeN2, single point on PBEsol structure, DFT meta-GGA SCAN
# Symmetry: P4/mmm
data_HfTiTeN2
_space_group_name_H-M_alt 'P 1'
_space_group_IT_number 1
_cell_length_a 3.959
_cell_length_b 3.959
_cell_length_c 5.243
_cell_angle_alpha 90.00
_cell_angle_beta 90.00
_cell_angle_gamma 90.00
loop_
_space_group_symop_operation_xyz
'x,y,z'
loop_
_atom_site_label
_atom_site_fract_x
_atom_site_fract_y
_atom_site_fract_z
_atom_site_occupancy
N1 0.000 0.500 0.000 1
N2 0.500 0.000 0.000 1
Te1 0.000 0.000 0.500 1
Hf1 0.500 0.500 0.500 1
Ti1 0.000 0.000 0.000 1



Model b:
# HfTiTeN2, single point on PBEsol structure, DFT meta-GGA SCAN
# Symmetry: P4/mmm
data_HfTiTeN2
_space_group_name_H-M_alt 'P 1'
_space_group_IT_number 1
_cell_length_a 4.089
_cell_length_b 4.089
_cell_length_c 5.679
_cell_angle_alpha 90.00
_cell_angle_beta 90.00
_cell_angle_gamma 90.00
loop_
_space_group_symop_operation_xyz
'x,y,z'
loop_
_atom_site_label
_atom_site_fract_x
_atom_site_fract_y
_atom_site_fract_z
_atom_site_occupancy
N1 0.000 0.500 0.000 1
N2 0.500 0.000 0.000 1
Te1 0.000 0.000 0.500 1
Hf1 0.000 0.000 0.000 1
Ti1 0.500 0.500 0.500 1



Unit: kJ/mol of atoms. Relative energies: model a 10.3; model b 0.0.